Record 1
VASP calculation (PBE) on an optimized crystal structure of BeAgAu2.

abc: 8.771 8.771 8.771
angles: 19.24 19.24 19.24
Element x y z (fractional)
Be (0.502, 0.502, 0.502)
Au (0.000, 0.000, 0.000)
Au (0.235, 0.235, 0.235)
Ag (0.763, 0.763, 0.763)

- DOS at the Fermi energy: 1.30 states/eV per cell
- Magnetization: 0.00 μB/atom
- E_form: 1.19 kcal/mol of atoms
- Crystal system: trigonal
- Calculated volume: 16.0 Å³/atom
- Uncorrected energy: -12.93 eV for the cell shown

Record 2
VASP calculation (PBE) on an optimized crystal structure of FeAgIBr2.

abc: 5.137 6.155 5.137
angles: 90.00 90.00 90.00
Element x y z (fractional)
I (0.000, 0.500, 0.000)
Br (0.000, 0.000, 0.500)
Br (0.500, 0.000, 0.000)
Ag (0.000, 0.000, 0.000)
Fe (0.500, 0.500, 0.500)

- DOS at the Fermi energy: 9.61 states/eV per cell
- Magnetization: 0.75 μB/atom
- Crystal system: tetragonal
- ΔE_f (raw): 519 meV/atom
- Calculated volume: 32.5 Å³/atom
- Uncorrected energy: -13.62 eV for the cell shown